! PmEr3Ir2 | Alexandria via LeMat-Bulk | PBE-GGA | relaxed; values from VASP
&SYSTEM
  ibrav = 0, nat = 12, ntyp = 3
/
ATOMIC_SPECIES
Pm 145.00 Pm.upf
Er 167.26 Er.upf
Ir 192.22 Ir.upf
ATOMIC_POSITIONS crystal
Pm 0.000 0.000 0.000
Pm 0.500 0.500 0.000
Er 0.012 0.250 0.762
Er 0.250 0.750 0.500
Er 0.488 0.250 0.238
Er 0.512 0.750 0.762
Er 0.750 0.250 0.500
Er 0.988 0.750 0.238
Ir 0.139 0.711 0.850
Ir 0.361 0.211 0.571
Ir 0.639 0.789 0.429
Ir 0.861 0.289 0.150
CELL_PARAMETERS angstrom
-3.398 6.812 3.491
3.398 -6.812 3.491
3.398 6.812 -3.491
! * ΔH_f (0 K): -636 meV/atom
! * ΔE to the lowest computed polymorph: 0.57 eV per formula unit
! * magnetic moment: 0.00 μB/cell

=====

! PmZn3Rh4O12 | Alexandria via LeMat-Bulk | PBE-GGA | relaxed; values from VASP
&SYSTEM
  ibrav = 0, nat = 20, ntyp = 4
/
ATOMIC_SPECIES
Pm 145.00 Pm.upf
Zn 65.41 Zn.upf
Rh 102.91 Rh.upf
O 16.00 O.upf
ATOMIC_POSITIONS crystal
Pm 0.000 0.000 0.000
Zn 0.000 0.500 0.500
Zn 0.500 0.000 0.500
Zn 0.500 0.500 0.000
Rh 0.000 0.000 0.500
Rh 0.000 0.500 0.000
Rh 0.500 0.000 0.000
Rh 0.500 0.500 0.500
O 0.126 0.827 0.299
O 0.173 0.299 0.473
O 0.173 0.701 0.874
O 0.299 0.126 0.827
O 0.299 0.473 0.173
O 0.473 0.173 0.299
O 0.527 0.827 0.701
O 0.701 0.527 0.827
O 0.701 0.874 0.173
O 0.827 0.299 0.126
O 0.827 0.701 0.527
O 0.874 0.173 0.701
CELL_PARAMETERS angstrom
-3.813 3.813 3.813
3.813 -3.813 3.813
3.813 3.813 -3.813
! * magnetic moment: 3.18 μB/cell
! * total energy: -0.22253 Ha/atom

=====

! BHSeBr2 | Alexandria via LeMat-Bulk | PBE-GGA | relaxed; values from VASP
&SYSTEM
  ibrav = 0, nat = 5, ntyp = 4
/
ATOMIC_SPECIES
B 10.81 B.upf
H 1.01 H.upf
Se 78.96 Se.upf
Br 79.90 Br.upf
ATOMIC_POSITIONS crystal
B 0.000 0.000 0.000
H 0.500 0.500 0.500
Se 0.500 0.500 0.000
Br 0.000 0.500 0.500
Br 0.500 0.000 0.500
CELL_PARAMETERS angstrom
5.239 0.000 0.000
0.000 5.239 0.000
0.000 0.000 3.549
! * ΔE to the lowest computed polymorph: 0.99 eV per formula unit
! * magnetic moment: 0.01 μB/cell